(1)
Below is a relaxed TbEr3C crystal, with properties calculated at the PBE level.

Results
Electronic total energy (eV/atom): -5.5392
Symmetry: Pm-3m

Unit cell a=5.000 b=5.000 c=5.000 alpha=90.00 beta=90.00 gamma=90.00
Element x y z (fractional)
Tb  0.000  0.000  0.000
Er  0.000  0.500  0.500
Er  0.500  0.000  0.500
Er  0.500  0.500  0.000
C  0.500  0.500  0.500

---

(2)
Below is a relaxed TbEr2TlC crystal, with properties calculated at the PBE level.

Results
Electronic total energy (eV/atom): -5.5396
Symmetry: P4/mmm

Unit cell a=4.870 b=4.870 c=4.950 alpha=90.00 beta=90.00 gamma=90.00
Element x y z (fractional)
Tb  0.000  0.000  0.000
Er  0.000  0.500  0.500
Er  0.500  0.000  0.500
Tl  0.500  0.500  0.000
C  0.000  0.000  0.500

---

(3)
Below is a relaxed Tb2ErTlC crystal, with properties calculated at the PBE level.

Results
Electronic total energy (eV/atom): -5.5339
Symmetry: P4/mmm

Unit cell a=4.955 b=4.955 c=4.870 alpha=90.00 beta=90.00 gamma=90.00
Element x y z (fractional)
Tb  0.000  0.500  0.000
Tb  0.500  0.000  0.000
Er  0.000  0.000  0.500
Tl  0.500  0.500  0.500
C  0.000  0.000  0.000

---

(4)
Below is a relaxed Er2TcC2 crystal, with properties calculated at the PBE level.

Results
Electronic total energy (eV/atom): -7.9496
Symmetry: C2/m

Unit cell a=6.067 b=6.067 c=6.610 alpha=115.50 beta=115.50 gamma=49.11
Element x y z (fractional)
Er  0.030  0.030  0.274
Er  0.322  0.322  0.879
Er  0.678  0.678  0.121
Er  0.970  0.970  0.726
Tc  0.362  0.362  0.372
Tc  0.638  0.638  0.628
C  0.180  0.180  0.108
C  0.492  0.492  0.725
C  0.508  0.508  0.275
C  0.820  0.820  0.892

---

(5)
Below is a relaxed Er2TcC2 crystal, with properties calculated at the PBE level.

Results
Electronic total energy (eV/atom): -8.0112
Symmetry: Pnma

Unit cell a=6.527 b=5.049 c=9.795 alpha=90.00 beta=90.00 gamma=90.00
Element x y z (fractional)
Er  0.034  0.250  0.217
Er  0.176  0.250  0.558
Er  0.324  0.750  0.058
Er  0.466  0.750  0.717
Er  0.534  0.250  0.283
Er  0.676  0.250  0.942
Er  0.824  0.750  0.442
Er  0.966  0.750  0.783
Tc  0.216  0.250  0.867
Tc  0.284  0.750  0.367
Tc  0.716  0.250  0.633
Tc  0.784  0.750  0.133
C  0.051  0.750  0.241
C  0.177  0.750  0.551
C  0.323  0.250  0.051
C  0.449  0.250  0.741
C  0.551  0.750  0.259
C  0.677  0.750  0.949
C  0.823  0.250  0.449
C  0.949  0.250  0.759

---

(6)
Below is a relaxed ErTc3C crystal, with properties calculated at the PBE level.

Results
Electronic total energy (eV/atom): -8.9728
Symmetry: Pm-3m

Unit cell a=4.209 b=4.209 c=4.209 alpha=90.00 beta=90.00 gamma=90.00
Element x y z (fractional)
Er  0.000  0.000  0.000
Tc  0.000  0.500  0.500
Tc  0.500  0.000  0.500
Tc  0.500  0.500  0.000
C  0.500  0.500  0.500

---

(7)
Below is a relaxed Er3Tc4C4 crystal, with properties calculated at the PBE level.

Results
Electronic total energy (eV/atom): -8.3516
Symmetry: Amm2

Unit cell a=9.128 b=5.714 c=5.714 alpha=31.61 beta=90.00 gamma=90.00
Element x y z (fractional)
Er  0.000  0.000  0.000
Er  0.337  0.054  0.054
Er  0.663  0.054  0.054
Tc  0.000  0.273  0.273
Tc  0.252  0.790  0.790
Tc  0.500  0.313  0.313
Tc  0.748  0.790  0.790
C  0.000  0.665  0.665
C  0.184  0.401  0.401
C  0.500  0.691  0.691
C  0.816  0.401  0.401

---

(8)
Below is a relaxed ErTcC2 crystal, with properties calculated at the PBE level.

Results
Electronic total energy (eV/atom): -8.3237
Symmetry: R-3m

Unit cell a=5.728 b=5.728 c=5.728 alpha=32.54 beta=32.54 gamma=32.54
Element x y z (fractional)
Er  0.000  0.000  0.000
Tc  0.500  0.500  0.500
C  0.239  0.239  0.239
C  0.761  0.761  0.761

---

(9)
Below is a relaxed ErTc4C2 crystal, with properties calculated at the PBE level.

Results
Electronic total energy (eV/atom): -9.1541
Symmetry: Cmmm

Unit cell a=6.959 b=6.959 c=3.918 alpha=90.00 beta=90.00 gamma=147.02
Element x y z (fractional)
Er  0.000  0.000  0.000
Tc  0.176  0.824  0.500
Tc  0.318  0.682  0.000
Tc  0.682  0.318  0.000
Tc  0.824  0.176  0.500
C  0.370  0.630  0.500
C  0.630  0.370  0.500

---

(10)
Below is a relaxed ErTc2C crystal, with properties calculated at the PBE level.

Results
Electronic total energy (eV/atom): -8.4744
Symmetry: R-3m

Unit cell a=7.339 b=7.339 c=7.339 alpha=25.11 beta=25.11 gamma=25.11
Element x y z (fractional)
Er  0.000  0.000  0.000
Tc  0.215  0.215  0.215
Tc  0.785  0.785  0.785
C  0.500  0.500  0.500

---

(11)
Below is a relaxed ErTcC2 crystal, with properties calculated at the PBE level.

Results
Electronic total energy (eV/atom): -8.4625
Symmetry: Amm2

Unit cell a=3.553 b=3.930 c=3.930 alpha=76.05 beta=90.00 gamma=90.00
Element x y z (fractional)
Er  0.000  0.000  0.000
Tc  0.500  0.403  0.403
C  0.500  0.578  0.873
C  0.500  0.873  0.578

---

(12)
Below is a relaxed ErTc2C crystal, with properties calculated at the PBE level.

Results
Electronic total energy (eV/atom): -8.6103
Symmetry: Cmcm

Unit cell a=5.224 b=5.224 c=7.379 alpha=90.00 beta=90.00 gamma=144.89
Element x y z (fractional)
Er  0.055  0.945  0.750
Er  0.945  0.055  0.250
Tc  0.341  0.659  0.563
Tc  0.341  0.659  0.937
Tc  0.659  0.341  0.063
Tc  0.659  0.341  0.437
C  0.223  0.777  0.250
C  0.777  0.223  0.750

---

(13)
Below is a relaxed Er2TcC crystal, with properties calculated at the PBE level.

Results
Electronic total energy (eV/atom): -6.7046
Symmetry: R-3m

Unit cell a=8.471 b=8.471 c=8.471 alpha=22.76 beta=22.76 gamma=22.76
Element x y z (fractional)
Er  0.111  0.111  0.111
Er  0.889  0.889  0.889
Tc  0.000  0.000  0.000
C  0.500  0.500  0.500

---

(14)
Below is a relaxed Er3Tc2C4 crystal, with properties calculated at the PBE level.

Results
Electronic total energy (eV/atom): -8.0157
Symmetry: C2/m

Unit cell a=5.562 b=5.562 c=7.334 alpha=97.54 beta=97.54 gamma=34.10
Element x y z (fractional)
Er  0.000  0.000  0.000
Er  0.382  0.382  0.596
Er  0.618  0.618  0.404
Tc  0.295  0.295  0.170
Tc  0.705  0.705  0.830
C  0.141  0.141  0.653
C  0.342  0.342  0.909
C  0.658  0.658  0.091
C  0.859  0.859  0.347

---

(15)
Below is a relaxed Er2ThTcC4 crystal, with properties calculated at the PBE level.

Results
Electronic total energy (eV/atom): -8.1083
Symmetry: Cmcm

Unit cell a=6.285 b=6.285 c=12.022 alpha=90.00 beta=90.00 gamma=147.68
Element x y z (fractional)
Er  0.129  0.871  0.541
Er  0.129  0.871  0.959
Er  0.871  0.129  0.041
Er  0.871  0.129  0.459
Th  0.408  0.592  0.750
Th  0.592  0.408  0.250
Tc  0.330  0.670  0.250
Tc  0.670  0.330  0.750
C  0.077  0.923  0.750
C  0.232  0.768  0.130
C  0.232  0.768  0.370
C  0.500  0.500  0.000
C  0.500  0.500  0.500
C  0.768  0.232  0.630
C  0.768  0.232  0.870
C  0.923  0.077  0.250

---

(16)
Below is a relaxed ErTh2TcC4 crystal, with properties calculated at the PBE level.

Results
Electronic total energy (eV/atom): -8.3068
Symmetry: Cmcm

Unit cell a=6.270 b=6.270 c=12.726 alpha=90.00 beta=90.00 gamma=146.59
Element x y z (fractional)
Er  0.106  0.894  0.750
Er  0.894  0.106  0.250
Th  0.366  0.634  0.540
Th  0.366  0.634  0.960
Th  0.634  0.366  0.040
Th  0.634  0.366  0.460
Tc  0.163  0.837  0.250
Tc  0.837  0.163  0.750
C  0.000  0.000  0.000
C  0.000  0.000  0.500
C  0.269  0.731  0.137
C  0.269  0.731  0.363
C  0.422  0.578  0.750
C  0.578  0.422  0.250
C  0.731  0.269  0.637
C  0.731  0.269  0.863

---

(17)
Below is a relaxed Er2TlTcC crystal, with properties calculated at the PBE level.

Results
Electronic total energy (eV/atom): -6.5551
Symmetry: P4/mmm

Unit cell a=4.944 b=4.944 c=4.031 alpha=90.00 beta=90.00 gamma=90.00
Element x y z (fractional)
Er  0.000  0.500  0.000
Er  0.500  0.000  0.000
Tl  0.000  0.000  0.500
Tc  0.500  0.500  0.500
C  0.500  0.500  0.000

---

(18)
Below is a relaxed ErTm2Tc2C4 crystal, with properties calculated at the PBE level.

Results
Electronic total energy (eV/atom): -7.9759
Symmetry: C2/m

Unit cell a=6.758 b=6.758 c=6.068 alpha=110.64 beta=110.64 gamma=29.41
Element x y z (fractional)
Er  0.000  0.000  0.000
Tm  0.136  0.136  0.532
Tm  0.864  0.864  0.468
Tc  0.324  0.324  0.020
Tc  0.676  0.676  0.980
C  0.222  0.222  0.223
C  0.472  0.472  0.271
C  0.528  0.528  0.729
C  0.778  0.778  0.777

---

(19)
Below is a relaxed Er2UTc2C4 crystal, with properties calculated at the PBE level.

Results
Electronic total energy (eV/atom): -8.7174
Symmetry: C2/m

Unit cell a=6.569 b=6.569 c=6.060 alpha=107.04 beta=107.04 gamma=30.36
Element x y z (fractional)
Er  0.136  0.136  0.040
Er  0.864  0.864  0.960
U  0.000  0.000  0.500
Tc  0.326  0.326  0.500
Tc  0.674  0.674  0.500
C  0.230  0.230  0.734
C  0.480  0.480  0.760
C  0.520  0.520  0.240
C  0.770  0.770  0.266

---

(20)
Below is a relaxed Er2ZnTcC crystal, with properties calculated at the PBE level.

Results
Electronic total energy (eV/atom): -6.3191
Symmetry: P4/mmm

Unit cell a=4.873 b=4.873 c=3.966 alpha=90.00 beta=90.00 gamma=90.00
Element x y z (fractional)
Er  0.000  0.500  0.000
Er  0.500  0.000  0.000
Zn  0.000  0.000  0.500
Tc  0.500  0.500  0.500
C  0.500  0.500  0.000

---

We obtain size of the total moment values of 0.00, 0.00, 0.00, 0.00, 0.00, 2.00, 0.00, 0.00, 0.00, 0.00, 0.00, 0.00, 0.23, 0.00, 0.00, 0.00, 0.00, 0.00, 0.00, 0.00 μB/f.u. for the records listed above, in that order.
We obtain calculated volume values of 25.004, 23.483, 23.907, 16.199, 16.139, 14.916, 14.202, 12.088, 14.755, 15.654, 13.311, 14.475, 19.952, 13.998, 15.870, 17.214, 19.704, 14.081, 13.993, 18.835 Å³/atom for the records listed above, in that order.